VASP calculation (PBE) on an optimized crystal structure of La2TlP.

ΔH_f (0 K) in eV/atom: -0.96
Distance to the lowest polymorph of the same formula in eV/atom: 0.000

POSCAR file:
```
La2TlP
1.0
2.0913 1.2074 8.2777
-2.0913 1.2074 8.2777
0.0000 -2.4148 8.2777
La Tl P
2 1 1
Direct
0.2350 0.2350 0.2350
0.7650 0.7650 0.7650
0.0000 0.0000 0.0000
0.5000 0.5000 0.5000
```

VASP calculation (PBE) on an optimized crystal structure of Er2GaTe6Pb3.

E_form (uncorrected) in eV/atom: -0.670

POSCAR file:
```
Er2GaTe6Pb3
1.0
9.8770 -2.2278 0.0000
9.8770 2.2278 0.0000
-2.3027 0.0000 8.9664
Er Ga Te Pb
2 1 6 3
Direct
0.1663 0.1663 0.3409
0.8337 0.8337 0.6591
0.5000 0.5000 0.0000
0.0079 0.0079 0.2469
0.3283 0.3283 0.4232
0.3320 0.3320 0.8914
0.6680 0.6680 0.1086
0.6717 0.6717 0.5768
0.9921 0.9921 0.7531
0.1605 0.1605 0.8448
0.5000 0.5000 0.5000
0.8395 0.8395 0.1552
```

no.,mass density (Mg/m³)
1,6.80
2,7.54